First-principles (meta-GGA SCAN) data for GdAg2 at its PBEsol-relaxed geometry, as listed in the Alexandria database.

Results
As for the symmetry: No. 139. The value obtained for the energy of formation is -0.273 eV per atom. The calculated volume is 63 Å³/cell.

Unit cell a=3.683 b=3.683 c=5.294 alpha=110.36 beta=110.36 gamma=90.00
Last column: magnetic moment on the atom in μB.
Sites, in units of the cell vectors:
Ag (0.673, 0.673, 0.346)  -0.01
Ag (0.327, 0.327, 0.654)  -0.01
Gd (0.000, 0.000, 0.000)  7.14

***

First-principles (meta-GGA SCAN) data for SnSe3I at its PBEsol-relaxed geometry, as listed in the Alexandria database.

Results
The calculation puts the uncorrected formation energy at 0.6023 eV per atom. As for the symmetry: No. 221. The calculated volume is 150 Å³/cell.

Unit cell a=5.313 b=5.313 c=5.313 alpha=90.00 beta=90.00 gamma=90.00
Sites, in units of the cell vectors:
Se (0.000, 0.500, 0.000)
Sn (0.500, 0.500, 0.500)
I (0.000, 0.000, 0.000)
Se (0.500, 0.000, 0.000)
Se (0.000, 0.000, 0.500)